(1)
GaAgHg2Cl4 | Alexandria via LeMat-Bulk | PBE | optimized geometry; symmetry = Fddd, No. 70; raw formation energy = -0.653 eV per atom
1.0
0.0000 6.1789 14.1534
3.3953 0.0000 14.1534
3.3953 6.1789 0.0000
Ga Ag Hg Cl
2 2 4 8
Cartesian
0.8488 1.5447 3.5384
5.9418 10.8130 24.7685
2.5465 4.6342 10.6151
4.2441 7.7236 17.6918
2.5465 4.6342 6.2922
4.2441 7.7236 13.3690
2.5465 4.6342 14.9379
4.2441 7.7236 22.0146
4.5693 3.4076 11.8429
4.5693 5.8607 9.3872
6.2670 6.4970 16.4639
6.2670 8.9502 18.9196
0.5236 3.4076 9.3872
0.5236 5.8607 11.8429
2.2213 6.4970 18.9196
2.2213 8.9502 16.4639



(2)
Cr2Co2Os | Alexandria via LeMat-Bulk | PBE | optimized geometry; symmetry = P4/mbm, No. 127; calculated formation energy = 0.25 eV per atom; ΔE to the lowest computed polymorph = 0.59 eV per formula unit
1.0
6.8197 0.0000 0.0000
0.0000 6.8197 0.0000
0.0000 0.0000 2.5392
Cr Co Os
4 4 2
Cartesian
0.7979 2.6120 0.0000
2.6120 6.0219 0.0000
4.2077 0.7979 0.0000
6.0219 4.2077 0.0000
1.2084 4.6183 1.2696
2.2015 1.2084 1.2696
4.6183 5.6113 1.2696
5.6113 2.2015 1.2696
0.0000 0.0000 0.0000
3.4099 3.4099 0.0000



no.,D(E_F) (states/eV per atom),E (eV/atom)
1,0.000,-2.39
2,1.447,-8.69